[1]
DFT (PBE-GGA) results for SrTlC after structural relaxation.

Unit cell a=4.127 b=4.887 c=9.505 alpha=110.09 beta=90.00 gamma=114.97
Fractional positions:
Sr (0.085, 0.170, 0.828)
Sr (0.915, 0.830, 0.172)
Tl (0.319, 0.638, 0.423)
Tl (0.681, 0.362, 0.577)
C (0.578, 0.156, 0.025)
C (0.422, 0.844, 0.975)

Calculated values
For the total magnetic moment, the calculation gives 0.000 μB per formula unit. The calculation puts the formation enthalpy at 0 K at -0.075 eV/atom. The total energy comes out at -27.0 eV for the cell shown. As for the space group: C2/m.

***

[2]
DFT (PBE-GGA) results for SrTl2C after structural relaxation.

Unit cell a=5.237 b=5.237 c=5.237 alpha=60.00 beta=60.00 gamma=60.00
Fractional positions:
Sr (0.500, 0.500, 0.500)
Tl (0.250, 0.250, 0.250)
Tl (0.750, 0.750, 0.750)
C (0.000, 0.000, 0.000)

Calculated values
For the total magnetic moment, the calculation gives 0.000 μB per formula unit. The calculation puts the formation enthalpy at 0 K at 1.099 eV/atom. The value obtained for the relative energy among the computed polymorphs is 0.453 eV/atom. The total energy comes out at -11.2 eV for the cell shown. As for the space group: Fm-3m.

***

[3]
DFT (PBE-GGA) results for SrTl2C2 after structural relaxation.

Unit cell a=8.303 b=8.303 c=3.807 alpha=90.00 beta=90.00 gamma=90.00
Fractional positions:
Sr (0.000, 0.000, 0.000)
Sr (0.500, 0.500, 0.000)
Tl (0.374, 0.874, 0.000)
Tl (0.874, 0.626, 0.000)
Tl (0.626, 0.126, 0.000)
Tl (0.126, 0.374, 0.000)
C (0.283, 0.783, 0.500)
C (0.783, 0.717, 0.500)
C (0.717, 0.217, 0.500)
C (0.217, 0.283, 0.500)

Calculated values
For the total magnetic moment, the calculation gives 0.000 μB per formula unit. The calculation puts the formation enthalpy at 0 K at 1.659 eV/atom. The value obtained for the relative energy among the computed polymorphs is 0.416 eV/atom. The total energy comes out at -33.1 eV for the cell shown. As for the space group: P4/mbm.

***

[4]
DFT (PBE-GGA) results for SrTlC2 after structural relaxation.

Unit cell a=4.597 b=4.597 c=4.597 alpha=60.00 beta=60.00 gamma=60.00
Fractional positions:
Sr (0.000, 0.000, 0.000)
Tl (0.500, 0.500, 0.500)
C (0.250, 0.250, 0.250)
C (0.750, 0.750, 0.750)

Calculated values
For the total magnetic moment, the calculation gives 0.000 μB per formula unit. The calculation puts the formation enthalpy at 0 K at 1.761 eV/atom. The value obtained for the relative energy among the computed polymorphs is 0.104 eV/atom. The total energy comes out at -15.5 eV for the cell shown. As for the space group: Fm-3m.

***

[5]
DFT (PBE-GGA) results for SrTl3C after structural relaxation.

Unit cell a=5.178 b=5.178 c=5.178 alpha=90.00 beta=90.00 gamma=90.00
Fractional positions:
Sr (0.500, 0.500, 0.500)
Tl (0.000, 0.500, 0.000)
Tl (0.000, 0.000, 0.500)
Tl (0.500, 0.000, 0.000)
C (0.000, 0.000, 0.000)

Calculated values
For the total magnetic moment, the calculation gives 0.000 μB per formula unit. The calculation puts the formation enthalpy at 0 K at 0.725 eV/atom. The value obtained for the relative energy among the computed polymorphs is 0.000 eV/atom. The total energy comes out at -14.4 eV for the cell shown. As for the space group: Pm-3m.

***

[6]
DFT (PBE-GGA) results for Sr2TlC after structural relaxation.

Unit cell a=8.163 b=8.163 c=6.896 alpha=53.71 beta=53.71 gamma=90.00
Last column: magnetic moment on the atom in μB.
Fractional positions:
Sr (0.532, 0.125, 0.250)  0.05
Sr (0.218, 0.625, 0.250)  0.04
Sr (0.375, 0.468, 0.750)  0.04
Sr (0.875, 0.782, 0.750)  0.04
Tl (0.000, 0.000, 0.000)  0.03
Tl (0.750, 0.250, 0.500)  0.03
C (0.500, 0.500, 0.000)  0.38
C (0.250, 0.750, 0.500)  0.38

Calculated values
For the total magnetic moment, the calculation gives 1.004 μB per formula unit. The calculation puts the formation enthalpy at 0 K at 0.550 eV/atom. The total energy comes out at -25.5 eV for the cell shown. As for the space group: I-42d.

***

[7]
DFT (PBE-GGA) results for SrTl2C2 after structural relaxation.

Unit cell a=4.497 b=4.497 c=5.836 alpha=67.34 beta=67.34 gamma=90.00
Fractional positions:
Sr (0.000, 0.000, 0.000)
Tl (0.347, 0.347, 0.307)
Tl (0.653, 0.653, 0.693)
C (0.750, 0.250, 0.500)
C (0.250, 0.750, 0.500)

Calculated values
For the total magnetic moment, the calculation gives 0.000 μB per formula unit. The calculation puts the formation enthalpy at 0 K at 1.244 eV/atom. The value obtained for the relative energy among the computed polymorphs is 0.000 eV/atom. The total energy comes out at -18.6 eV for the cell shown. As for the space group: I4/mmm.

***

[8]
DFT (PBE-GGA) results for Sr2TlC after structural relaxation.

Unit cell a=5.364 b=5.364 c=5.364 alpha=60.00 beta=60.00 gamma=60.00
Fractional positions:
Sr (0.250, 0.250, 0.250)
Sr (0.750, 0.750, 0.750)
Tl (0.500, 0.500, 0.500)
C (0.000, 0.000, 0.000)

Calculated values
For the total magnetic moment, the calculation gives 0.000 μB per formula unit. The calculation puts the formation enthalpy at 0 K at 0.737 eV/atom. The total energy comes out at -12.0 eV for the cell shown. As for the space group: Fm-3m.

***

[9]
DFT (PBE-GGA) results for SrTmC after structural relaxation.

Unit cell a=3.992 b=9.810 c=9.768 alpha=91.27 beta=101.79 gamma=90.00
Fractional positions:
Sr (0.102, 0.361, 0.203)
Sr (0.420, 0.130, 0.839)
Sr (0.580, 0.870, 0.161)
Sr (0.898, 0.639, 0.797)
C (0.299, 0.625, 0.598)
C (0.709, 0.868, 0.419)
C (0.701, 0.375, 0.402)
C (0.291, 0.132, 0.581)
Tm (0.277, 0.379, 0.555)
Tm (0.730, 0.126, 0.460)
Tm (0.723, 0.621, 0.445)
Tm (0.270, 0.874, 0.540)

Calculated values
For the total magnetic moment, the calculation gives 0.000 μB per formula unit. The calculation puts the formation enthalpy at 0 K at 0.038 eV/atom. The total energy comes out at -61.1 eV for the cell shown. As for the space group: C2/m.

***

[10]
DFT (PBE-GGA) results for SrUC2 after structural relaxation.

Unit cell a=3.675 b=3.675 c=6.416 alpha=73.36 beta=73.36 gamma=60.00
Fractional positions:
Sr (0.500, 0.500, 0.500)
C (0.275, 0.275, 0.174)
C (0.725, 0.725, 0.826)
U (0.000, 0.000, 0.000)

Calculated values
For the total magnetic moment, the calculation gives 0.000 μB per formula unit. The calculation puts the formation enthalpy at 0 K at 0.090 eV/atom. The total energy comes out at -31.1 eV for the cell shown. As for the space group: R-3m.

***

[11]
DFT (PBE-GGA) results for SrVC2 after structural relaxation.

Unit cell a=4.248 b=4.248 c=4.248 alpha=60.00 beta=60.00 gamma=60.00
Last column: magnetic moment on the atom in μB.
Fractional positions:
Sr (0.500, 0.500, 0.500)  0.05
C (0.250, 0.250, 0.250)  -0.03
C (0.750, 0.750, 0.750)  -0.03
V (0.000, 0.000, 0.000)  2.09

Calculated values
For the total magnetic moment, the calculation gives 2.370 μB per formula unit. The calculation puts the formation enthalpy at 0 K at 1.576 eV/atom. The total energy comes out at -22.9 eV for the cell shown. As for the space group: Fm-3m.

***

[12]
DFT (PBE-GGA) results for SrV3C after structural relaxation.

Unit cell a=4.259 b=4.259 c=4.259 alpha=90.00 beta=90.00 gamma=90.00
Last column: magnetic moment on the atom in μB.
Fractional positions:
Sr (0.500, 0.500, 0.500)  0.06
C (0.000, 0.000, 0.000)  -0.03
V (0.000, 0.500, 0.000)  0.41
V (0.000, 0.000, 0.500)  0.41
V (0.500, 0.000, 0.000)  0.41

Calculated values
For the total magnetic moment, the calculation gives 1.493 μB per formula unit. The calculation puts the formation enthalpy at 0 K at 0.625 eV/atom. The value obtained for the relative energy among the computed polymorphs is 0.000 eV/atom. The total energy comes out at -35.1 eV for the cell shown. As for the space group: Pm-3m.

***

[13]
DFT (PBE-GGA) results for Sr3VC after structural relaxation.

Unit cell a=5.450 b=5.450 c=5.450 alpha=90.00 beta=90.00 gamma=90.00
Last column: magnetic moment on the atom in μB.
Fractional positions:
Sr (0.000, 0.500, 0.000)  0.05
Sr (0.000, 0.000, 0.500)  0.05
Sr (0.500, 0.000, 0.000)  0.05
C (0.000, 0.000, 0.000)  -0.15
V (0.500, 0.500, 0.500)  3.14

Calculated values
For the total magnetic moment, the calculation gives 4.769 μB per formula unit. The calculation puts the formation enthalpy at 0 K at 0.797 eV/atom. The value obtained for the relative energy among the computed polymorphs is 0.000 eV/atom. The total energy comes out at -19.4 eV for the cell shown. As for the space group: Pm-3m.

***

[14]
DFT (PBE-GGA) results for SrV2C after structural relaxation.

Unit cell a=6.253 b=6.253 c=6.254 alpha=60.01 beta=60.01 gamma=90.00
Last column: magnetic moment on the atom in μB.
Fractional positions:
Sr (0.000, 0.000, 0.000)  0.01
Sr (0.750, 0.250, 0.500)  0.01
C (0.500, 0.500, 0.000)  -0.10
C (0.250, 0.750, 0.500)  -0.10
V (0.375, 0.125, 0.250)  1.31
V (0.375, 0.625, 0.250)  1.31
V (0.375, 0.625, 0.750)  1.31
V (0.875, 0.625, 0.750)  1.31

Calculated values
For the total magnetic moment, the calculation gives 3.114 μB per formula unit. The calculation puts the formation enthalpy at 0 K at 0.508 eV/atom. The total energy comes out at -54.2 eV for the cell shown. As for the space group: Fd-3m.

***

[15]
DFT (PBE-GGA) results for SrV2C2 after structural relaxation.

Unit cell a=3.939 b=3.939 c=6.228 alpha=71.57 beta=71.57 gamma=90.00
Fractional positions:
Sr (0.000, 0.000, 0.000)
C (0.750, 0.250, 0.500)
C (0.250, 0.750, 0.500)
V (0.275, 0.275, 0.451)
V (0.725, 0.725, 0.549)

Calculated values
For the total magnetic moment, the calculation gives 0.000 μB per formula unit. The calculation puts the formation enthalpy at 0 K at 0.056 eV/atom. The total energy comes out at -38.1 eV for the cell shown. As for the space group: I4/mmm.

***

[16]
DFT (PBE-GGA) results for SrVC2 after structural relaxation.

Unit cell a=5.786 b=5.786 c=5.711 alpha=59.57 beta=59.57 gamma=90.00
Fractional positions:
Sr (0.000, 0.000, 0.000)
Sr (0.750, 0.250, 0.500)
C (0.499, 0.125, 0.250)
C (0.251, 0.625, 0.250)
C (0.375, 0.501, 0.750)
C (0.875, 0.749, 0.750)
V (0.500, 0.500, 0.000)
V (0.250, 0.750, 0.500)

Calculated values
For the total magnetic moment, the calculation gives 0.000 μB per formula unit. The calculation puts the formation enthalpy at 0 K at 0.352 eV/atom. The total energy comes out at -55.7 eV for the cell shown. As for the space group: I-42d.

***

[17]
DFT (PBE-GGA) results for SrV3C after structural relaxation.

Unit cell a=4.499 b=4.499 c=4.499 alpha=90.00 beta=90.00 gamma=90.00
Fractional positions:
Sr (0.000, 0.000, 0.000)
C (0.500, 0.500, 0.500)
V (0.000, 0.500, 0.000)
V (0.000, 0.000, 0.500)
V (0.500, 0.000, 0.000)

Calculated values
For the total magnetic moment, the calculation gives 0.028 μB per formula unit. The calculation puts the formation enthalpy at 0 K at 3.662 eV/atom. The value obtained for the relative energy among the computed polymorphs is 3.038 eV/atom. The total energy comes out at -19.9 eV for the cell shown. As for the space group: Pm-3m.

***

[18]
DFT (PBE-GGA) results for SrYV2C after structural relaxation.

Unit cell a=5.300 b=4.463 c=5.300 alpha=90.00 beta=90.00 gamma=90.00
Last column: magnetic moment on the atom in μB.
Fractional positions:
Y (0.500, 0.500, 0.500)  0.15
Sr (0.000, 0.000, 0.000)  0.18
C (0.000, 0.500, 0.000)  -0.15
V (0.000, 0.000, 0.500)  2.63
V (0.500, 0.000, 0.000)  2.78

Calculated values
For the total magnetic moment, the calculation gives 6.760 μB per formula unit. The calculation puts the formation enthalpy at 0 K at 2.222 eV/atom. The total energy comes out at -24.5 eV for the cell shown. As for the space group: P4/mmm.

***

[19]
DFT (PBE-GGA) results for SrWC2 after structural relaxation.

Unit cell a=4.210 b=4.210 c=4.210 alpha=60.00 beta=60.00 gamma=60.00
Fractional positions:
Sr (0.000, 0.000, 0.000)
C (0.250, 0.250, 0.250)
C (0.750, 0.750, 0.750)
W (0.500, 0.500, 0.500)

Calculated values
For the total magnetic moment, the calculation gives 0.000 μB per formula unit. The calculation puts the formation enthalpy at 0 K at 1.874 eV/atom. The value obtained for the relative energy among the computed polymorphs is 1.639 eV/atom. The total energy comes out at -25.6 eV for the cell shown. As for the space group: Fm-3m.

***

[20]
DFT (PBE-GGA) results for SrWC3 after structural relaxation.

Unit cell a=4.182 b=4.182 c=4.182 alpha=90.00 beta=90.00 gamma=90.00
Fractional positions:
Sr (0.000, 0.000, 0.000)
C (0.000, 0.500, 0.000)
C (0.000, 0.000, 0.500)
C (0.500, 0.000, 0.000)
W (0.500, 0.500, 0.500)

Calculated values
For the total magnetic moment, the calculation gives 0.001 μB per formula unit. The calculation puts the formation enthalpy at 0 K at 4.026 eV/atom. The value obtained for the relative energy among the computed polymorphs is 3.132 eV/atom. The total energy comes out at -22.2 eV for the cell shown. As for the space group: Pm-3m.